<P>
TbNiPt3 PBE relaxed; crystal system = orthorhombic; size of the total moment = 0.000 μB/cell
1.0
5.337 0.000 0.000
0.000 8.878 0.000
-2.668 -4.439 3.766
Tb Ni Pt
2 2 6
Cartesian
0.000 -0.018 1.883 Tb
2.668 4.457 1.883 Tb
0.000 4.439 0.000 Ni
2.668 0.000 0.000 Ni
4.003 2.219 0.438 Pt
1.334 2.219 0.438 Pt
1.334 2.219 3.328 Pt
-1.334 2.219 3.328 Pt
0.000 6.005 1.883 Pt
2.668 -1.566 1.883 Pt

<Q>
TbNiPt3 PBE relaxed; crystal system = orthorhombic; size of the total moment = 2.192 μB/cell
1.0
-2.417 3.496 1.251
-5.402 -3.454 -0.785
0.336 -1.848 5.813
Tb Ni Pt
2 2 6
Cartesian
-1.127 1.302 2.027 Tb
-2.446 -3.129 4.019 Tb
0.184 -1.013 3.186 Ni
-3.757 -0.814 2.860 Ni
-3.692 -2.932 1.060 Pt
-5.283 -2.349 4.201 Pt
-2.049 -0.281 4.671 Pt
-1.524 -1.545 1.375 Pt
0.317 -1.743 5.485 Pt
-3.890 -0.083 0.561 Pt

Which is most stable, and by how much? <P>, by 92 meV per atom.